A relaxed ZnSbPd3 crystal. Source: Alexandria, functional PBE.

a = 3.1642 Å, b = 13.1419 Å, c = 8.7467 Å
α = 90.00°, β = 90.00°, γ = 90.00°
Closest atoms and distances in Å follow each position.
Space group Cmcm (No. 63)
Unique sites:
Zn 0.0000 0.0000 0.0000  6 Pd 2.58-2.62
Sb 0.0000 0.2202 0.2500  8 Pd 2.72-2.85
Pd 0.0000 0.1093 0.7500  2 Zn 2.62, 2 Sb 2.74, 4 Pd 2.88
Pd 0.0000 0.3453 0.5168  2 Zn 2.58, 3 Sb 2.72-2.85, 2 Pd 2.88

Output
Its uncorrected formation energy is -153 kJ/mol of formula units. As for the total moment: 0.000 μB/atom. Its total energy is -0.1658 Ha/atom. For the relative energy among the computed polymorphs, the calculation gives 108 meV/atom.